InB3Ru | PBE-GGA | optimized geometry

Computed properties:
The uncorrected energy is -18.375 eV/f.u. For the density of states at the Fermi level, the calculation gives 1.07 states/eV per atom. For the formation energy, the calculation gives 2.7342 eV/atom.

Lattice parameters (Å, degrees): 4.3315 4.3315 4.3315 90.00 90.00 90.00
Site moments in Bohr magnetons follow the coordinates.
Fractional coordinates of all 5 atoms:
B (0.0000, 0.5000, 0.0000)  -0.03
B (0.5000, 0.0000, 0.0000)  -0.02
B (0.0000, 0.0000, 0.5000)  -0.03
Ru (0.5000, 0.5000, 0.5000)  1.96
In (0.0000, 0.0000, 0.0000)  0.01

PrLuGeRh | PBE-GGA | optimized geometry

Computed properties:
The uncorrected energy is -23.854 eV/f.u. For the density of states at the Fermi level, the calculation gives 0.65 states/eV per atom. For the formation energy, the calculation gives -0.6462 eV/atom.

Lattice parameters (Å, degrees): 5.0123 5.0123 5.0123 60.00 60.00 60.00
Fractional coordinates of all 4 atoms:
Rh (0.7500, 0.7500, 0.7500)
Pr (0.5000, 0.5000, 0.5000)
Ge (0.2500, 0.2500, 0.2500)
Lu (0.0000, 0.0000, 0.0000)

> What is the density of states at the Fermi level in the second record?

0.65 states/eV per atom